a | DFT (PBE) results for SrVS2Cl after structural relaxation.

V (Å³ per cell): 165.3

Cell lengths 5.565, 5.565, 5.337 Å; angles 90.00, 90.00, 90.00 degrees
Atoms (fractional coordinates):
V1 0.500 0.500 0.500
Cl1 0.000 0.000 0.500
S1 0.500 0.000 0.000
Sr1 0.000 0.000 0.000
S2 0.000 0.500 0.000

---

b | DFT (PBE) results for SrVS2Cl after structural relaxation.

V (Å³ per cell): 109.3

Cell lengths 4.757, 4.757, 4.829 Å; angles 90.00, 90.00, 90.00 degrees
Atoms (fractional coordinates):
Cl1 0.000 0.000 0.500
S1 0.500 0.000 0.000
S2 0.000 0.500 0.000
Sr1 0.500 0.500 0.500
V1 0.000 0.000 0.000

---

Short version: a is the least stable of them.

---

a | DFT (PBE) results for SrWSCl2 after structural relaxation.

V (Å³ per cell): 169.3

Cell lengths 5.348, 5.348, 5.919 Å; angles 90.00, 90.00, 90.00 degrees
Atoms (fractional coordinates):
W1 0.500 0.500 0.500
Sr1 0.000 0.000 0.000
Cl1 0.500 0.000 0.000
S1 0.000 0.000 0.500
Cl2 0.000 0.500 0.000

---

b | DFT (PBE) results for SrWSCl2 after structural relaxation.

V (Å³ per cell): 116.5

Cell lengths 5.024, 5.024, 4.617 Å; angles 90.00, 90.00, 90.00 degrees
Atoms (fractional coordinates):
S1 0.000 0.000 0.500
Cl1 0.500 0.000 0.000
Sr1 0.500 0.500 0.500
Cl2 0.000 0.500 0.000
W1 0.000 0.000 0.000

---

Short version: a is the least stable of them.